## Dy3Zn2Ni6 (GGA-PBE)

Data for Dy3Zn2Ni6 after structural relaxation.

The structure in CIF format:
```
data_Dy3Zn2Ni6
_chemical_formula_sum 'Dy12 Zn8 Ni24'
_cell_length_a 8.897
_cell_length_b 8.897
_cell_length_c 8.897
_cell_angle_alpha 90.00
_cell_angle_beta 90.00
_cell_angle_gamma 90.00
_symmetry_space_group_name_H-M 'I m -3 m'
_symmetry_Int_Tables_number 229
_symmetry_space_group_name_Hall '-I 4 2 3'
loop_
_atom_site_label
_atom_site_fract_x
_atom_site_fract_y
_atom_site_fract_z
_atom_site_occupancy
Dy1 0.000 0.000 0.295 1
Zn1 0.250 0.250 0.250 1
Ni1 0.000 0.339 0.339 1
```

Properties
The value obtained for the density of states at the Fermi level is 0.522 states/eV per atom. As for the calculated formation energy: -0.463 eV/atom. Its crystal system is cubic.